Compound: YSnIr3
Source: the Alexandria database
Functional: PBE
Structure: relaxed

Summary:
The value obtained for the energy relative to the lowest polymorph listed for this composition is 0 meV per atom. Its crystal system is cubic. The space group is Pm-3m, No. 221. For the theoretical density, the calculation gives 11.4 Mg/m³. For the energy relative to the elements, the calculation gives 3.8 eV per formula unit. The calculation puts the calculated volume at 22.9 Å³ per atom.

Unit cell a=4.8524 b=4.8524 c=4.8524 alpha=90.00 beta=90.00 gamma=90.00
Last column: nearest neighbours and their distance in Å.
Element x y z (fractional)
1 Ir 0.0000 0.0000 0.5000  2 Sn 2.43
2 Ir 0.0000 0.5000 0.0000  2 Sn 2.43
3 Y 0.5000 0.5000 0.5000  12 Ir 3.43
4 Ir 0.5000 0.0000 0.0000  2 Sn 2.43
5 Sn 0.0000 0.0000 0.0000  6 Ir 2.43

Compound: Rb3C
Source: the Alexandria database
Functional: PBE
Structure: relaxed

Summary:
The value obtained for the energy relative to the lowest polymorph listed for this composition is 26 meV per atom. Its crystal system is orthorhombic. The space group is Pmmn, No. 59. For the theoretical density, the calculation gives 2.0 Mg/m³. For the energy relative to the elements, the calculation gives 4.4 eV per formula unit. The calculation puts the calculated volume at 57.1 Å³ per atom.

Unit cell a=4.2869 b=8.9113 c=11.9496 alpha=90.00 beta=90.00 gamma=90.00
Last column: nearest neighbours and their distance in Å.
Element x y z (fractional)
1 C 0.5000 0.5000 0.7022  6 Rb 3.10-3.16
2 Rb 0.5000 0.2179 0.1922  2 C 3.16
3 Rb 0.0000 0.2821 0.8078  2 C 3.16
4 Rb 0.5000 0.0000 0.4850  2 C 3.10
5 Rb 0.0000 0.5000 0.5150  2 C 3.10
6 C 0.0000 0.0000 0.2978  6 Rb 3.10-3.16
7 Rb 0.0000 0.7179 0.8078  2 C 3.16
8 Rb 0.5000 0.7821 0.1922  2 C 3.16